Entry 1:
Crystalline Ga3HIr at its relaxed geometry. Source: Alexandria via LeMat-Bulk, functional PBE.

abc: 4.0523 4.0523 4.0523
angles: 90.00 90.00 90.00
Closest atoms and distances in Å follow each position.
Fractional positions:
H (0.0000, 0.0000, 0.0000)  6 Ga 2.03
Ga (0.5000, 0.0000, 0.0000)  2 H 2.03
Ga (0.0000, 0.0000, 0.5000)  2 H 2.03
Ir (0.5000, 0.5000, 0.5000)  12 Ga 2.87
Ga (0.0000, 0.5000, 0.0000)  2 H 2.03

Output
- SG: Pm-3m
- Offset from the most stable computed form: 112.7 meV/atom

---

Entry 2:
Crystalline CaTeRh at its relaxed geometry. Source: Alexandria via LeMat-Bulk, functional PBE.

abc: 5.2022 5.2022 5.2022
angles: 135.05 134.80 65.65
Closest atoms and distances in Å follow each position.
Fractional positions:
Rh (0.3510, 0.3510, 0.0000)  1 Te 2.67
Te (0.6561, 0.6561, 0.0000)  1 Rh 2.67, 1 Ca 2.94
Ca (0.9929, 0.9929, 0.0000)  5 Te 2.94-3.16, 5 Rh 3.08-3.13

Output
- Formation energy without anion corrections: -41.2 kJ per mole of atoms
- SG: Imm2

---

Entry 3:
Crystalline Pr4Ga3Pd5 at its relaxed geometry. Source: Alexandria via LeMat-Bulk, functional PBE.

abc: 4.6488 7.1491 9.1734
angles: 84.56 75.32 71.03
Closest atoms and distances in Å follow each position.
Fractional positions:
Ga (0.0000, 0.5000, 0.5000)  2 Pd 2.32
Ga (0.3129, 0.9417, 0.4324)  1 Pd 2.54, 2 Ga 2.74
Pd (0.3085, 0.3776, 0.0054)  4 Pd 2.80-2.95, 3 Pr 3.07-3.13
Pr (0.0249, 0.7385, 0.2117)  5 Pd 2.99-3.13, 3 Ga 3.01-3.35
Pd (0.5000, 0.5000, 0.5000)  2 Ga 2.32
Pd (0.5779, 0.9940, 0.8502)  1 Ga 2.54, 2 Pd 2.66-2.80
Pr (0.2523, 0.7291, 0.7663)  6 Pd 2.84-3.16
Pd (0.4221, 0.0060, 0.1498)  1 Ga 2.54, 2 Pd 2.66-2.80
Pd (0.6915, 0.6224, 0.9946)  4 Pd 2.80-2.95, 3 Pr 3.07-3.13
Pr (0.7477, 0.2709, 0.2337)  6 Pd 2.84-3.16
Ga (0.6871, 0.0583, 0.5676)  1 Pd 2.54, 2 Ga 2.74
Pr (0.9751, 0.2615, 0.7883)  5 Pd 2.99-3.13, 3 Ga 3.01-3.35

Output
- Energy of formation: -0.63 eV per atom
- SG: C2/m